Compound: GaBiSeBr2
Source: Alexandria
Functional: meta-GGA SCAN
Structure: PBEsol geometry

polymorph energy (0 for the lowest one): 0.0000 eV/atom
electronic total energy: -30.954 eV/atom
uncorrected formation energy: -170 meV per atom

Unit cell a=5.5182 b=5.6431 c=5.6431 alpha=90.00 beta=90.00 gamma=90.00
Last column: nearest neighbours and their distance in Å.
Element x y z (fractional)
Ga 0.5000 0.5000 0.5000  8 Br 3.95, 4 Se 3.99
Se 0.5000 0.0000 0.0000  2 Bi 2.76
Bi 0.0000 0.0000 0.0000  2 Se 2.76, 4 Br 2.82
Br 0.0000 0.0000 0.5000  2 Bi 2.82
Br 0.0000 0.5000 0.0000  2 Bi 2.82



Compound: SiTc2Ni
Source: Alexandria
Functional: meta-GGA SCAN
Structure: PBEsol geometry

electronic total energy: -24.256 eV/atom
uncorrected formation energy: -179 meV per atom

Unit cell a=2.8844 b=2.8844 c=5.9851 alpha=90.00 beta=90.00 gamma=90.00
Last column: nearest neighbours and their distance in Å.
Element x y z (fractional)
Ni 0.5000 0.5000 0.0000  8 Tc 2.56
Si 0.5000 0.5000 0.5000  8 Tc 2.50
Tc 0.0000 0.0000 0.7420  4 Si 2.50, 4 Ni 2.56
Tc 0.0000 0.0000 0.2580  4 Si 2.50, 4 Ni 2.56



Compound: ErAlSi
Source: Alexandria
Functional: meta-GGA SCAN
Structure: PBEsol geometry

electronic total energy: -23.343 eV/atom
uncorrected formation energy: -640 meV per atom

Unit cell a=3.9642 b=5.4090 c=5.6121 alpha=90.00 beta=90.00 gamma=111.50
Last column: nearest neighbours and their distance in Å.
Element x y z (fractional)
Si 0.6008 0.2016 0.2500  4 Al 2.63, 2 Er 2.85
Si 0.3992 0.7984 0.7500  4 Al 2.63, 2 Er 2.85
Al 0.0000 0.0000 0.5000  4 Si 2.63, 2 Al 2.81
Al 0.0000 0.0000 0.0000  4 Si 2.63, 2 Al 2.81
Er 0.3047 0.6093 0.2500  5 Si 2.85-2.98, 4 Al 3.12
Er 0.6953 0.3907 0.7500  5 Si 2.85-2.98, 4 Al 3.12



Compound: La2YBi2
Source: Alexandria
Functional: meta-GGA SCAN
Structure: PBEsol geometry

calculated formation energy: -0.990 eV per atom
electronic total energy: -55.232 eV/atom

Unit cell a=4.4373 b=8.4812 c=8.4812 alpha=90.00 beta=90.00 gamma=90.00
Last column: nearest neighbours and their distance in Å.
Element x y z (fractional)
Y 0.0000 0.0000 0.0000  4 Bi 3.23
Y 0.0000 0.5000 0.5000  4 Bi 3.23
Bi 0.0000 0.3499 0.8499  2 Y 3.23, 6 La 3.23-3.40, 1 Bi 3.60
Bi 0.0000 0.8499 0.6501  2 Y 3.23, 6 La 3.23-3.40, 1 Bi 3.60
Bi 0.0000 0.6501 0.1501  2 Y 3.23, 6 La 3.23-3.40, 1 Bi 3.60
Bi 0.0000 0.1501 0.3499  2 Y 3.23, 6 La 3.23-3.40, 1 Bi 3.60
La 0.5000 0.1539 0.6539  6 Bi 3.23-3.40
La 0.5000 0.6539 0.8461  6 Bi 3.23-3.40
La 0.5000 0.8461 0.3461  6 Bi 3.23-3.40
La 0.5000 0.3461 0.1539  6 Bi 3.23-3.40



Compound: Tm6FeSb2
Source: Alexandria
Functional: meta-GGA SCAN
Structure: PBEsol geometry

electronic total energy: -45.441 eV/atom
uncorrected formation energy: -592 meV per atom

Unit cell a=4.0121 b=7.9668 c=7.9668 alpha=120.00 beta=90.00 gamma=90.00
Last column: nearest neighbours and their distance in Å.
Element x y z (fractional)
Tm 0.0000 0.7670 0.7670  2 Fe 2.73
Tm 0.0000 0.2330 0.0000  2 Fe 2.73
Tm 0.0000 0.0000 0.2330  2 Fe 2.73
Tm 0.5000 0.0000 0.6066  1 Fe 3.13, 4 Sb 3.17, 4 Tm 3.39
Tm 0.5000 0.6066 0.0000  1 Fe 3.13, 4 Sb 3.17, 4 Tm 3.39
Tm 0.5000 0.3934 0.3934  1 Fe 3.13, 4 Sb 3.17, 4 Tm 3.39
Fe 0.5000 0.0000 0.0000  6 Tm 2.73
Sb 0.0000 0.6667 0.3333  9 Tm 3.13-3.17
Sb 0.0000 0.3333 0.6667  9 Tm 3.13-3.17



Compound: ScReI3
Source: Alexandria
Functional: meta-GGA SCAN
Structure: PBEsol geometry

electronic total energy: -38.286 eV/atom
uncorrected formation energy: 826 meV per atom

Unit cell a=5.3052 b=5.3052 c=5.3052 alpha=90.00 beta=90.00 gamma=90.00
Last column: nearest neighbours and their distance in Å.
Element x y z (fractional)
I 0.0000 0.5000 0.0000  2 Re 2.65
I 0.0000 0.0000 0.5000  2 Re 2.65
I 0.5000 0.0000 0.0000  2 Re 2.65
Re 0.0000 0.0000 0.0000  6 I 2.65
Sc 0.5000 0.5000 0.5000  12 I 3.75



Compound: CdSbPO2
Source: Alexandria
Functional: meta-GGA SCAN
Structure: PBEsol geometry

electronic total energy: -17.806 eV/atom
uncorrected formation energy: 301 meV per atom

Unit cell a=4.0896 b=4.0896 c=4.9554 alpha=90.00 beta=90.00 gamma=90.00
Last column: nearest neighbours and their distance in Å.
Element x y z (fractional)
Sb 0.5000 0.5000 0.5000  4 P 2.89, 8 O 3.21
O 0.0000 0.5000 0.0000  2 Cd 2.04
O 0.5000 0.0000 0.0000  2 Cd 2.04
P 0.0000 0.0000 0.5000  2 Cd 2.48
Cd 0.0000 0.0000 0.0000  4 O 2.04



Compound: BaAl2Ag
Source: Alexandria
Functional: meta-GGA SCAN
Structure: PBEsol geometry

calculated formation energy: -0.262 eV per atom
electronic total energy: -21.867 eV/atom

Unit cell a=4.4364 b=4.4364 c=6.6155 alpha=70.41 beta=70.41 gamma=60.00
Last column: nearest neighbours and their distance in Å.
Element x y z (fractional)
Ba 0.5000 0.5000 0.5000  8 Al 3.54-3.65
Ag 0.0000 0.0000 0.0000  6 Al 2.63
Al 0.3003 0.3003 0.0990  3 Ag 2.63, 3 Al 2.83
Al 0.6997 0.6997 0.9010  3 Ag 2.63, 3 Al 2.83